Computed, not measured: a relaxed RbBeCdS2 crystal at the PBE level of DFT.

As for the uncorrected formation energy: 21.37 kJ per mole of atoms. The calculation puts the magnetic moment at 0.0 Bohr magnetons per cell.

The space group is P4/mmm (No. 123) and the conventional cell measures 5.261, 5.261 and 4.708 Å, with angles of 90.00, 90.00 and 90.00 degrees. The inequivalent atoms are Rb at (0.000, 0.000, 0.000), Be at (0.500, 0.500, 0.000), Cd at (0.500, 0.500, 0.500) and S at (0.000, 0.500, 0.500).


Computed, not measured: a relaxed CsCo5Se8 crystal at the PBE level of DFT.

As for the uncorrected formation energy: -36.55 kJ per mole of atoms. The calculation puts the magnetic moment at 0.0 Bohr magnetons per cell.

The space group is C2/m (No. 12) and the conventional cell measures 18.509, 3.609 and 8.496 Å, with angles of 90.00, 105.09 and 90.00 degrees. The inequivalent atoms are Cs at (0.000, 0.000, 0.000), Co at (0.000, 0.500, 0.500), Co at (0.161, 0.000, 0.490), Co at (0.206, 0.000, 0.819), Se at (0.074, 0.000, 0.646), Se at (0.092, 0.500, 0.349), Se at (0.179, 0.500, 0.979) and Se at (0.241, 0.500, 0.655).


Computed, not measured: a relaxed NaPaIn6 crystal at the PBE level of DFT.

The calculation puts the magnetic moment at 0.8 Bohr magnetons per cell. For the formation energy, the calculation gives -66.7 meV/atom.

The space group is P4/mmm (No. 123) and the conventional cell measures 6.605, 6.605 and 4.676 Å, with angles of 90.00, 90.00 and 90.00 degrees. The inequivalent atoms are Na at (0.000, 0.000, 0.000), Pa at (0.500, 0.500, 0.000), In at (0.000, 0.500, 0.000) and In at (0.251, 0.251, 0.500).


Computed, not measured: a relaxed La8IrOsPd2 crystal at the PBE level of DFT.

The calculation puts the magnetic moment at 0.0 Bohr magnetons per cell. For the formation energy, the calculation gives -434.0 meV/atom.

The space group is P2/m (No. 10) and the conventional cell measures 6.811, 8.601 and 6.936 Å, with angles of 90.00, 91.85 and 90.00 degrees. The inequivalent atoms are La at (0.151, 0.000, 0.256), La at (0.153, 0.500, 0.257), La at (0.348, 0.253, 0.727), Ir at (0.500, 0.000, 0.500), Os at (0.500, 0.500, 0.500) and Pd at (0.000, 0.249, 0.000).


Computed, not measured: a relaxed AcEu2Bi crystal at the PBE level of DFT.

For the energy above the most stable polymorph in this dataset, the calculation gives 0.2051 eV/atom. The calculation puts the magnetic moment at 67.7 Bohr magnetons per cell. For the formation energy, the calculation gives -217.3 meV/atom.

The space group is Fm-3m (No. 225) and the conventional cell measures 8.303, 8.303 and 8.303 Å, with angles of 90.00, 90.00 and 90.00 degrees. The inequivalent atoms are Ac at (0.000, 0.000, 0.000), Eu at (0.250, 0.250, 0.250) and Bi at (0.000, 0.000, 0.500).


Computed, not measured: a relaxed CaTa2Pb crystal at the PBE level of DFT.

The calculation puts the magnetic moment at 0.0 Bohr magnetons per cell. For the formation energy, the calculation gives 572.2 meV/atom.

The space group is Imm2 (No. 44) and the conventional cell measures 3.380, 5.347 and 10.352 Å, with angles of 90.00, 90.00 and 90.00 degrees. The inequivalent atoms are Ca at (0.000, 0.000, 0.000), Ta at (0.000, 0.000, 0.526), Ta at (0.000, 0.500, 0.226) and Pb at (0.000, 0.500, 0.777).


Computed, not measured: a relaxed YCr2Hg crystal at the PBE level of DFT.

For the energy above the most stable polymorph in this dataset, the calculation gives 0.0519 eV/atom. The calculation puts the magnetic moment at 0.9 Bohr magnetons per cell. For the formation energy, the calculation gives 222.7 meV/atom.

The space group is I-4m2 (No. 119) and the conventional cell measures 4.885, 4.885 and 6.794 Å, with angles of 90.00, 90.00 and 90.00 degrees. The inequivalent atoms are Y at (0.000, 0.000, 0.000), Cr at (0.000, 0.000, 0.500), Cr at (0.000, 0.500, 0.750) and Hg at (0.000, 0.500, 0.250).


Computed, not measured: a relaxed PuMnZn crystal at the PBE level of DFT.

The calculation puts the magnetic moment at 9.0 Bohr magnetons per cell. For the formation energy, the calculation gives 252.2 meV/atom.

The space group is P-6m2 (No. 187) and the conventional cell measures 4.7500, 4.7500 and 2.8865 Å, with angles of 90.00, 90.00 and 120.00 degrees. The inequivalent atoms are Pu at (0.0000, 0.0000, 0.0000), Mn at (0.6667, 0.3333, 0.5000) and Zn at (0.3333, 0.6667, 0.5000).


Computed, not measured: a relaxed TcPd2F crystal at the PBE level of DFT.

For the energy above the most stable polymorph in this dataset, the calculation gives 0.0160 eV/atom. As for the uncorrected formation energy: 25.54 kJ per mole of atoms. The calculation puts the magnetic moment at 12.4 Bohr magnetons per cell.

The space group is I-42d (No. 122) and the conventional cell measures 6.780, 6.780 and 5.341 Å, with angles of 90.00, 90.00 and 90.00 degrees. The inequivalent atoms are Tc at (0.000, 0.000, 0.000), Pd at (0.226, 0.750, 0.625) and F at (0.000, 0.000, 0.500).


Computed, not measured: a relaxed Cd2RePb crystal at the PBE level of DFT.

The calculation puts the magnetic moment at 2.4 Bohr magnetons per cell. For the formation energy, the calculation gives 583.5 meV/atom.

The space group is R3m (No. 160, hexagonal axes) and the conventional cell measures 3.0208, 3.0208 and 34.1124 Å, with angles of 90.00, 90.00 and 120.00 degrees. The inequivalent atoms are Cd at (0.0000, 0.0000, 0.0000), Cd at (0.0000, 0.0000, 0.2474), Re at (0.0000, 0.0000, 0.7360) and Pb at (0.0000, 0.0000, 0.4757).


Computed, not measured: a relaxed Y2AlP crystal at the PBE level of DFT.

For the energy above the most stable polymorph in this dataset, the calculation gives 0.3992 eV/atom. The calculation puts the magnetic moment at 0.0 Bohr magnetons per cell. For the formation energy, the calculation gives -503.6 meV/atom.

The space group is R3m (No. 160, hexagonal axes) and the conventional cell measures 4.0538, 4.0538 and 20.5744 Å, with angles of 90.00, 90.00 and 120.00 degrees. The inequivalent atoms are Y at (0.0000, 0.0000, 0.0000), Y at (0.0000, 0.0000, 0.1892), Al at (0.0000, 0.0000, 0.7621) and P at (0.0000, 0.0000, 0.4275).


Computed, not measured: a relaxed Pm2Pr3Ho crystal at the PBE level of DFT.

For the energy above the most stable polymorph in this dataset, the calculation gives 0.0000 eV/atom. The calculation puts the magnetic moment at 0.0 Bohr magnetons per cell. For the formation energy, the calculation gives 50.1 meV/atom.

The space group is P2_1/m (No. 11) and the conventional cell measures 8.593, 3.752 and 13.065 Å, with angles of 90.00, 90.02 and 90.00 degrees. The inequivalent atoms are Pm at (0.084, 0.250, 0.391), Pm at (0.350, 0.750, 0.946), Pr at (0.087, 0.250, 0.110), Pr at (0.347, 0.750, 0.556), Pr at (0.396, 0.750, 0.249) and Ho at (0.190, 0.250, 0.751).


Computed, not measured: a relaxed Ti5NbBi2 crystal at the PBE level of DFT.

For the energy above the most stable polymorph in this dataset, the calculation gives 0.0000 eV/atom. The calculation puts the magnetic moment at 0.0 Bohr magnetons per cell. For the formation energy, the calculation gives -113.1 meV/atom.

The space group is I4/mmm (No. 139) and the conventional cell measures 4.995, 4.995 and 12.242 Å, with angles of 90.00, 90.00 and 90.00 degrees. The inequivalent atoms are Ti at (0.000, 0.000, 0.000), Ti at (0.000, 0.500, 0.117), Nb at (0.000, 0.000, 0.500) and Bi at (0.000, 0.000, 0.249).


Computed, not measured: a relaxed K2In3I5 crystal at the PBE level of DFT.

As for the uncorrected formation energy: -79.60 kJ per mole of atoms. The calculation puts the magnetic moment at 0.0 Bohr magnetons per cell.

The space group is P-1 (No. 2) and the conventional cell measures 4.791, 9.410 and 10.749 Å, with angles of 94.56, 102.70 and 104.08 degrees. The inequivalent atoms are K at (0.106, 0.434, 0.267), In at (0.242, 0.144, 0.870), In at (0.500, 0.000, 0.500), I at (0.182, 0.288, 0.581), I at (0.424, 0.122, 0.200) and I at (0.500, 0.500, 0.000).


Computed, not measured: a relaxed Tb3Er3In2 crystal at the PBE level of DFT.

For the energy above the most stable polymorph in this dataset, the calculation gives 0.1093 eV/atom. The calculation puts the magnetic moment at 0.0 Bohr magnetons per cell. For the formation energy, the calculation gives -156.0 meV/atom.

The space group is Cmcm (No. 63) and the conventional cell measures 5.135, 11.723 and 15.889 Å, with angles of 90.00, 90.00 and 90.00 degrees. The inequivalent atoms are Tb at (0.000, 0.040, 0.104), Tb at (0.000, 0.257, 0.250), Er at (0.000, 0.358, 0.034), Er at (0.000, 0.463, 0.750) and In at (0.000, 0.231, 0.639).


Computed, not measured: a relaxed Pm2MnTl3Te6 crystal at the PBE level of DFT.

As for the uncorrected formation energy: -71.36 kJ per mole of atoms. The calculation puts the magnetic moment at 8.5 Bohr magnetons per cell.

The space group is C2/m (No. 12) and the conventional cell measures 7.692, 13.286 and 8.416 Å, with angles of 90.00, 108.13 and 90.00 degrees. The inequivalent atoms are Pm at (0.000, 0.164, 0.000), Mn at (0.000, 0.500, 0.000), Tl at (0.000, 0.000, 0.500), Tl at (0.000, 0.321, 0.500), Te at (0.221, 0.346, 0.207) and Te at (0.238, 0.500, 0.777).


Computed, not measured: a relaxed PuGaRu2 crystal at the PBE level of DFT.

The calculation puts the magnetic moment at 3.5 Bohr magnetons per cell. For the formation energy, the calculation gives -282.6 meV/atom.

The space group is P4/mmm (No. 123) and the conventional cell measures 4.316, 4.316 and 3.535 Å, with angles of 90.00, 90.00 and 90.00 degrees. The inequivalent atoms are Pu at (0.000, 0.000, 0.000), Ga at (0.500, 0.500, 0.000) and Ru at (0.000, 0.500, 0.500).


Computed, not measured: a relaxed Y3Zn11 crystal at the PBE level of DFT.

The calculation puts the magnetic moment at 0.0 Bohr magnetons per cell. For the formation energy, the calculation gives -334.1 meV/atom.

The space group is Immm (No. 71) and the conventional cell measures 4.431, 8.790 and 12.936 Å, with angles of 90.00, 90.00 and 90.00 degrees. The inequivalent atoms are Y at (0.000, 0.000, 0.000), Y at (0.000, 0.000, 0.291), Zn at (0.000, 0.176, 0.500), Zn at (0.000, 0.282, 0.141), Zn at (0.000, 0.359, 0.345) and Zn at (0.000, 0.500, 0.000).


Computed, not measured: a relaxed SrLi2Cl crystal at the PBE level of DFT.

For the energy above the most stable polymorph in this dataset, the calculation gives 0.1300 eV/atom. As for the uncorrected formation energy: -57.98 kJ per mole of atoms. The calculation puts the magnetic moment at 0.4 Bohr magnetons per cell.

The space group is P4/mmm (No. 123) and the conventional cell measures 3.507, 3.507 and 8.959 Å, with angles of 90.00, 90.00 and 90.00 degrees. The inequivalent atoms are Sr at (0.000, 0.000, 0.000), Li at (0.500, 0.500, 0.334) and Cl at (0.000, 0.000, 0.500).


Computed, not measured: a relaxed HgSbAu2 crystal at the PBE level of DFT.

For the energy above the most stable polymorph in this dataset, the calculation gives 0.0970 eV/atom. As for the uncorrected formation energy: 11.59 kJ per mole of atoms. The calculation puts the magnetic moment at 0.0 Bohr magnetons per cell.

The space group is P4/mmm (No. 123) and the conventional cell measures 4.613, 4.613 and 4.035 Å, with angles of 90.00, 90.00 and 90.00 degrees. The inequivalent atoms are Hg at (0.000, 0.000, 0.000), Sb at (0.500, 0.500, 0.000) and Au at (0.000, 0.500, 0.500).


Computed, not measured: a relaxed TlInGeSe3 crystal at the PBE level of DFT.

As for the uncorrected formation energy: -36.12 kJ per mole of atoms. The calculation puts the magnetic moment at 0.0 Bohr magnetons per cell.

The space group is P2_1/m (No. 11) and the conventional cell measures 8.680, 4.243 and 10.528 Å, with angles of 90.00, 108.16 and 90.00 degrees. The inequivalent atoms are Tl at (0.230, 0.250, 0.216), In at (0.100, 0.250, 0.643), Ge at (0.339, 0.750, 0.900), Se at (0.086, 0.250, 0.880), Se at (0.208, 0.750, 0.538) and Se at (0.469, 0.750, 0.150).


Computed, not measured: a relaxed Pm4HoEr5 crystal at the PBE level of DFT.

For the energy above the most stable polymorph in this dataset, the calculation gives 0.2259 eV/atom. The calculation puts the magnetic moment at 0.0 Bohr magnetons per cell. For the formation energy, the calculation gives 244.7 meV/atom.

The space group is I4mm (No. 107) and the conventional cell measures 10.643, 10.643 and 5.900 Å, with angles of 90.00, 90.00 and 90.00 degrees. The inequivalent atoms are Pm at (0.000, 0.323, 0.000), Ho at (0.000, 0.000, 0.761), Er at (0.000, 0.000, 0.237) and Er at (0.189, 0.189, 0.498).


Computed, not measured: a relaxed KAc2TcO6 crystal at the PBE level of DFT.

As for the uncorrected formation energy: -216.69 kJ per mole of atoms. The calculation puts the magnetic moment at 0.0 Bohr magnetons per cell.

The space group is P4mm (No. 99) and the conventional cell measures 5.704, 5.704 and 5.741 Å, with angles of 90.00, 90.00 and 90.00 degrees. The inequivalent atoms are K at (0.000, 0.000, 0.000), Ac at (0.000, 0.500, 0.453), Tc at (0.500, 0.500, 0.066), O at (0.000, 0.000, 0.556), O at (0.282, 0.282, 0.213) and O at (0.500, 0.500, 0.756).


Computed, not measured: a relaxed CaSiNi2 crystal at the PBE level of DFT.

As for the uncorrected formation energy: -23.62 kJ per mole of atoms. The calculation puts the magnetic moment at 0.0 Bohr magnetons per cell.

The space group is Pm (No. 6) and the conventional cell measures 3.739, 3.704 and 5.175 Å, with angles of 90.00, 90.09 and 90.00 degrees. The inequivalent atoms are Ca at (0.000, 0.000, 0.000), Si at (0.501, 0.500, 0.314), Ni at (0.001, 0.500, 0.541) and Ni at (0.501, 0.000, 0.545).


Computed, not measured: a relaxed SmEr2Si6 crystal at the PBE level of DFT.

As for the uncorrected formation energy: -49.85 kJ per mole of atoms. The calculation puts the magnetic moment at 0.0 Bohr magnetons per cell.

The space group is P6/mmm (No. 191) and the conventional cell measures 7.0993, 7.0993 and 3.9470 Å, with angles of 90.00, 90.00 and 120.00 degrees. The inequivalent atoms are Sm at (0.0000, 0.0000, 0.0000), Er at (0.3333, 0.6667, 0.0000) and Si at (0.0000, 0.3355, 0.5000).